Crystalline Ta2RuICl at its relaxed geometry, computed with GGA-PBE.

Results
ΔE_f (raw) = 1.70 eV per atom
V = 22.29 Å³ per atom
Magnetization = 0.00 μB per cell

Lattice parameters (Å, degrees): 4.421 5.703 4.421 90.00 90.00 90.00
Positions (direct):
I 0.000 0.500 0.000
Ru 0.500 0.500 0.500
Cl 0.000 0.000 0.000
Ta 0.000 0.000 0.500
Ta 0.500 0.000 0.000